Material: RbGaF3
Method: DFT, GGA-PBE
State: relaxed

```
RbGaF3
1.0
22.643 0.000 -1.095
0.000 5.344 0.000
-7.919 0.000 3.104
F Ga Rb
12 4 4
Cartesian
8.544 2.965 1.165
-1.074 4.008 1.947
0.517 1.336 2.161
12.176 3.292 1.665
6.180 2.379 0.844
13.542 0.293 1.849
9.909 0.620 1.349
15.798 1.336 0.062
4.815 4.724 0.660
1.182 5.051 0.160
2.547 2.052 0.344
14.207 4.008 -0.152
8.035 1.082 1.096
14.050 3.754 1.918
0.673 1.590 0.091
6.688 4.262 0.913
2.258 4.008 2.398
-2.815 1.336 1.710
12.466 1.336 -0.389
17.539 4.008 0.299
```

Properties
- DOS at the Fermi energy: 0.00 states/eV per cell
- M_tot: 0.00 μB per formula unit
- V: 82.3 Å³/f.u.
- Uncorrected formation energy: -2.5094 eV per atom


Material: NaGa6Pd6
Method: DFT, GGA-PBE
State: relaxed

```
NaGa6Pd6
1.0
0.354 -5.356 1.175
2.182 -3.836 -5.300
6.376 -2.030 1.671
Pd Ga Na
6 6 1
Cartesian
3.387 -6.072 -3.006
1.091 -1.918 -2.650
3.365 -3.693 1.423
1.268 -4.596 -2.063
3.188 -1.015 0.835
5.526 -5.150 0.551
1.590 -2.766 -0.240
7.323 -8.456 -2.214
5.782 -5.694 -2.003
3.131 -5.529 -0.451
4.936 -2.650 -0.723
3.622 -3.216 -2.906
0.000 0.000 0.000
```

Properties
- DOS at the Fermi energy: 6.73 states/eV per cell
- M_tot: 0.00 μB per formula unit
- V: 217.9 Å³/f.u.
- Formation energy: -510 meV/atom


Material: TaTiPd3
Method: DFT, GGA-PBE
State: relaxed

```
TaTiPd3
1.0
4.573 0.000 0.000
0.000 4.573 0.000
0.000 0.000 4.573
Pd Ti Ta
3 1 1
Cartesian
0.000 0.000 2.286
0.000 2.286 0.000
2.286 0.000 0.000
0.000 0.000 0.000
2.286 2.286 2.286
```

Properties
- DOS at the Fermi energy: 4.61 states/eV per cell
- M_tot: 1.49 μB per formula unit
- V: 95.6 Å³/f.u.
- Formation energy: 763 meV/atom
- Energy relative to the lowest polymorph listed for this composition: 812.9 meV/atom


Material: LiYCo2
Method: DFT, GGA-PBE
State: relaxed

```
LiYCo2
1.0
4.432 -0.007 0.000
0.034 4.432 0.000
-2.233 -2.213 3.124
Co Li Y
2 1 1
Cartesian
0.000 0.000 0.000
0.017 2.216 1.562
2.233 2.213 0.000
2.216 -0.003 1.562
```

Properties
- DOS at the Fermi energy: 4.72 states/eV per cell
- M_tot: 2.08 μB per formula unit
- V: 61.4 Å³/f.u.
- Formation energy: 177 meV/atom
- Energy relative to the lowest polymorph listed for this composition: 169.2 meV/atom


Material: Al2ZnCr
Method: DFT, GGA-PBE
State: relaxed

```
Al2ZnCr
1.0
4.512 0.000 0.000
0.000 2.675 0.001
0.000 -0.002 4.703
Al Zn Cr
2 1 1
Cartesian
2.256 0.334 1.443
0.000 0.333 4.474
2.256 1.670 3.714
0.000 1.671 2.128
```

Properties
- DOS at the Fermi energy: 2.47 states/eV per cell
- M_tot: 0.91 μB per formula unit
- V: 56.8 Å³/f.u.
- Formation energy: -3 meV/atom


Material: Y2PuAsN5
Method: DFT, GGA-PBE
State: relaxed

```
Y2PuAsN5
1.0
-2.537 -1.072 1.959
5.370 -4.600 1.519
3.177 6.183 7.496
Y As N Pu
4 2 10 2
Cartesian
3.179 3.134 5.830
4.240 0.535 8.697
2.515 -3.240 4.397
1.988 0.400 2.792
5.582 -2.183 6.031
1.846 5.452 8.288
0.528 -0.158 0.597
1.394 1.377 5.474
3.607 -0.854 4.203
4.208 -1.811 7.372
4.420 1.016 6.278
3.105 2.731 8.430
3.132 -3.755 1.999
6.593 -0.187 8.433
0.921 -1.807 3.119
-0.303 1.244 3.204
2.677 -0.389 6.167
1.749 -2.184 1.069
```

Properties
- DOS at the Fermi energy: 12.84 states/eV per cell
- M_tot: 3.63 μB per formula unit
- V: 121.5 Å³/f.u.
- Uncorrected formation energy: -0.8328 eV per atom


Material: Li7Sn2Pb2
Method: DFT, GGA-PBE
State: relaxed

```
Li7Sn2Pb2
1.0
5.717 -0.002 -0.672
0.004 8.132 0.004
-1.026 -0.002 5.664
Li Sn Pb
7 2 2
Cartesian
1.833 2.251 5.329
2.861 5.877 -0.333
2.348 5.888 2.499
5.206 5.875 2.163
-0.512 2.253 2.833
2.346 2.240 2.497
0.000 0.000 0.000
1.195 8.130 3.584
3.499 -0.002 1.413
0.964 4.065 1.026
3.730 4.062 3.970
```

Properties
- DOS at the Fermi energy: 2.93 states/eV per cell
- M_tot: 0.00 μB per formula unit
- V: 257.7 Å³/f.u.
- Formation energy: -136 meV/atom


Material: AcNdHoLu
Method: DFT, GGA-PBE
State: relaxed

```
AcNdHoLu
1.0
-4.729 -3.419 0.008
0.213 -5.270 2.498
-2.878 -0.987 4.979
Ho Lu Ac Nd
1 1 1 1
Cartesian
0.000 0.000 0.000
-3.697 -4.838 3.742
-5.546 -7.257 5.614
-1.849 -2.419 1.871
```

Properties
- DOS at the Fermi energy: 6.49 states/eV per cell
- M_tot: 0.00 μB per formula unit
- V: 140.5 Å³/f.u.
- Formation energy: 101 meV/atom